DFT (PBE) results for a geometry-optimized CaMgBi2O8 structure.

Results
The formation energy (no corrections) comes out at -12.07 eV per formula unit. The value obtained for the density of states at the Fermi level is 0.6447 states/eV per atom. The value obtained for the total energy is -0.3864 Ry/atom. The crystal system is trigonal.

Cell: 5.607 5.607 6.113 Å, 90.00 90.00 120.00°
Sites, in units of the cell vectors:
Bi (0.333, 0.667, 0.925)
Bi (0.667, 0.333, 0.075)
O (0.659, 0.709, 0.166)
O (0.667, 0.333, 0.425)
O (0.709, 0.050, 0.834)
O (0.333, 0.667, 0.575)
O (0.950, 0.659, 0.834)
Mg (0.000, 0.000, 0.000)
O (0.050, 0.341, 0.166)
O (0.341, 0.291, 0.834)
O (0.291, 0.950, 0.166)
Ca (0.000, 0.000, 0.500)